Record 1
# Ba2ScRh

A relaxed Ba2ScRh crystal (GGA-PBEsol, Alexandria).

extended XYZ file:
```
4
Lattice="4.651 0.000 0.000 0.000 4.651 0.000 0.000 0.000 5.100" Properties=species:S:1:pos:R:3 pbc="T T T"
Ba 0.000 2.326 0.000
Ba 2.326 0.000 0.000
Sc 0.000 0.000 2.550
Rh 2.326 2.326 2.550
```

Values from the calculation:
Relative energy among the computed polymorphs   0.5405 eV per atom

---

Record 2
# SmSi2Pt2

A relaxed SmSi2Pt2 crystal (GGA-PBEsol, Alexandria).

extended XYZ file:
```
5
Lattice="-2.076 2.076 4.960 2.076 -2.076 4.960 2.076 2.076 -4.960" Properties=species:S:1:pos:R:3 pbc="T T T"
Sm 0.000 0.000 0.000
Si 0.000 0.000 3.785
Si 0.000 0.000 6.135
Pt 2.076 0.000 2.480
Pt 0.000 2.076 2.480
```

Values from the calculation:
Energy relative to the elements, uncorrected   -1.088 eV/atom

---

Record 3
# Sr2ZrFe

A relaxed Sr2ZrFe crystal (GGA-PBEsol, Alexandria).

extended XYZ file:
```
4
Lattice="1.700 0.981 10.801 -1.700 0.981 10.801 0.000 -1.963 10.801" Properties=species:S:1:pos:R:3 pbc="T T T"
Sr 0.000 0.000 7.797
Sr 0.000 0.000 24.606
Zr 0.000 0.000 0.000
Fe 0.000 0.000 16.201
```

Values from the calculation:
Total DFT energy (no corrections)   -18.1 eV/cell

---

Record 4
# Ba2Ti6N2O11

A relaxed Ba2Ti6N2O11 crystal (GGA-PBEsol, Alexandria).

extended XYZ file:
```
21
Lattice="7.554 -1.955 0.000 7.554 1.955 0.000 -1.382 0.000 9.028" Properties=species:S:1:pos:R:3 pbc="T T T"
Ba 0.331 0.000 2.409
Ba 13.395 0.000 6.618
Ti 2.880 0.000 6.688
Ti 4.849 0.000 0.519
Ti 5.156 0.000 3.698
Ti 8.570 0.000 5.329
Ti 8.877 0.000 8.508
Ti 10.845 0.000 2.340
N 1.800 0.000 8.317
N 11.926 0.000 0.711
O 1.243 0.000 5.498
O 3.505 0.000 2.437
O 4.286 0.000 5.336
O 4.419 0.000 7.963
O 6.125 0.000 1.921
O 6.863 0.000 4.514
O 7.601 0.000 7.106
O 9.307 0.000 1.065
O 9.440 0.000 3.692
O 10.221 0.000 6.591
O 12.483 0.000 3.530
```

Values from the calculation:
Relative energy among the computed polymorphs   0.0086 eV per atom
Energy relative to the elements, uncorrected   -2.842 eV/atom

---

Per-record calculated density, g cm⁻³: 6.4, 11.6, 5.0, 4.8